--- A ---
Material: MnCrH2
Method: DFT, GGA-PBE
State: relaxed

## Properties
As for the magnetization: 0.0 Bohr magnetons per cell.

a = 5.328 Å, b = 4.602 Å, c = 4.210 Å
α = 90.00°, β = 90.00°, γ = 90.00°
Space group Pbcm (No. 57)
Asymmetric unit:
Mn (0.123, 0.085, 0.250) (multiplicity 4)
Cr (0.372, 0.584, 0.250) (multiplicity 4)
H (0.121, 0.750, 0.000) (multiplicity 4)
H (0.375, 0.250, 0.000) (multiplicity 4)

=====

--- B ---
Material: MnCrH2
Method: DFT, GGA-PBE
State: relaxed

## Properties
As for the magnetization: 3.8 Bohr magnetons per cell.

a = 2.6171 Å, b = 2.6171 Å, c = 13.9497 Å
α = 90.00°, β = 90.00°, γ = 120.00°
Space group R3m (No. 160, hexagonal axes)
Asymmetric unit:
Mn (0.0000, 0.0000, 0.0000) (multiplicity 3)
Cr (0.0000, 0.0000, 0.1706) (multiplicity 3)
H (0.0000, 0.0000, 0.4166) (multiplicity 3)
H (0.0000, 0.0000, 0.5882) (multiplicity 3)

=====

--- C ---
Material: MnCrH2
Method: DFT, GGA-PBE
State: relaxed

## Properties
As for the magnetization: 1.4 Bohr magnetons per cell.

a = 4.776 Å, b = 5.519 Å, c = 4.411 Å
α = 90.00°, β = 90.00°, γ = 90.00°
Space group Pna2_1 (No. 33)
Asymmetric unit:
Mn (0.085, 0.124, 0.000) (multiplicity 4)
Cr (0.085, 0.625, 0.002) (multiplicity 4)
H (0.079, 0.121, 0.373) (multiplicity 4)
H (0.084, 0.628, 0.385) (multiplicity 4)

=====

Stability check: which of them is least stable? B.

=====

--- A ---
Material: MnCrH2
Method: DFT, GGA-PBE
State: relaxed

## Properties
As for the magnetization: 0.2 Bohr magnetons per cell.

a = 2.6426 Å, b = 2.6426 Å, c = 12.9005 Å
α = 90.00°, β = 90.00°, γ = 120.00°
Space group R-3m (No. 166, hexagonal axes)
Asymmetric unit:
Mn (0.0000, 0.0000, 0.0000) (multiplicity 3)
Cr (0.0000, 0.0000, 0.5000) (multiplicity 3)
H (0.0000, 0.0000, 0.2533) (multiplicity 6)

=====

--- B ---
Material: MnCrH2
Method: DFT, GGA-PBE
State: relaxed

## Properties
As for the magnetization: 0.0 Bohr magnetons per cell.

a = 4.815 Å, b = 4.815 Å, c = 4.815 Å
α = 90.00°, β = 90.00°, γ = 90.00°
Space group Fm-3m (No. 225)
Asymmetric unit:
Mn (0.000, 0.000, 0.000) (multiplicity 4)
Cr (0.000, 0.000, 0.500) (multiplicity 4)
H (0.250, 0.250, 0.250) (multiplicity 8)

=====

--- C ---
Material: MnCrH2
Method: DFT, GGA-PBE
State: relaxed

## Properties
As for the magnetization: 1.0 Bohr magnetons per cell.

a = 3.902 Å, b = 3.902 Å, c = 7.921 Å
α = 90.00°, β = 90.00°, γ = 90.00°
Space group I-42d (No. 122)
Asymmetric unit:
Mn (0.000, 0.000, 0.000) (multiplicity 4)
Cr (0.000, 0.000, 0.500) (multiplicity 4)
H (0.243, 0.250, 0.125) (multiplicity 8)

=====

Stability check: which of them is least stable? B.

=====

--- A ---
Material: MnCr2H4
Method: DFT, GGA-PBE
State: relaxed

## Properties
As for the magnetization: 7.6 Bohr magnetons per cell.

a = 4.161 Å, b = 4.161 Å, c = 5.594 Å
α = 90.00°, β = 90.00°, γ = 90.00°
Space group I4/mmm (No. 139)
Asymmetric unit:
Mn (0.000, 0.000, 0.000) (multiplicity 2)
Cr (0.000, 0.500, 0.250) (multiplicity 4)
H (0.221, 0.221, 0.500) (multiplicity 8)

=====

--- B ---
Material: MnCr2H4
Method: DFT, GGA-PBE
State: relaxed

## Properties
As for the magnetization: 4.5 Bohr magnetons per cell.

a = 7.432 Å, b = 7.422 Å, c = 5.258 Å
α = 90.00°, β = 134.90°, γ = 90.00°
Space group C2/c (No. 15)
Asymmetric unit:
Mn (0.000, 0.124, 0.250) (multiplicity 4)
Cr (0.000, 0.500, 0.000) (multiplicity 4)
Cr (0.250, 0.250, 0.000) (multiplicity 4)
H (0.001, 0.263, 0.527) (multiplicity 8)
H (0.223, 0.487, 0.973) (multiplicity 8)

=====

Stability check: which of them is least stable? A.

=====

--- A ---
Material: Mn2CrH3
Method: DFT, GGA-PBE
State: relaxed

## Properties
As for the magnetization: 18.6 Bohr magnetons per cell.

a = 7.159 Å, b = 2.933 Å, c = 8.599 Å
α = 90.00°, β = 90.00°, γ = 90.00°
Space group Pnma (No. 62)
Asymmetric unit:
Mn (0.124, 0.250, 0.245) (multiplicity 4)
Mn (0.152, 0.250, 0.582) (multiplicity 4)
Cr (0.094, 0.250, 0.929) (multiplicity 4)
H (0.003, 0.250, 0.740) (multiplicity 4)
H (0.013, 0.750, 0.579) (multiplicity 4)
H (0.231, 0.750, 0.907) (multiplicity 4)

=====

--- B ---
Material: Mn2CrH3
Method: DFT, GGA-PBE
State: relaxed

## Properties
As for the magnetization: 4.1 Bohr magnetons per cell.

a = 2.647 Å, b = 3.775 Å, c = 8.013 Å
α = 90.00°, β = 90.00°, γ = 90.00°
Space group Immm (No. 71)
Asymmetric unit:
Mn (0.000, 0.000, 0.164) (multiplicity 4)
Cr (0.000, 0.000, 0.500) (multiplicity 2)
H (0.000, 0.500, 0.172) (multiplicity 4)
H (0.000, 0.500, 0.500) (multiplicity 2)

=====

Stability check: which of them is least stable? A.

=====

--- A ---
Material: MnCr2H2
Method: DFT, GGA-PBE
State: relaxed

## Properties
As for the magnetization: 0.3 Bohr magnetons per cell.

a = 2.674 Å, b = 2.674 Å, c = 11.001 Å
α = 90.00°, β = 90.00°, γ = 90.00°
Space group I4/mmm (No. 139)
Asymmetric unit:
Mn (0.000, 0.000, 0.000) (multiplicity 2)
Cr (0.000, 0.000, 0.357) (multiplicity 4)
H (0.000, 0.500, 0.250) (multiplicity 4)

=====

--- B ---
Material: MnCr2H2
Method: DFT, GGA-PBE
State: relaxed

## Properties
As for the magnetization: 0.0 Bohr magnetons per cell.

a = 5.381 Å, b = 5.381 Å, c = 2.683 Å
α = 90.00°, β = 90.00°, γ = 90.00°
Space group P4/mbm (No. 127)
Asymmetric unit:
Mn (0.000, 0.000, 0.000) (multiplicity 2)
Cr (0.152, 0.348, 0.500) (multiplicity 4)
H (0.172, 0.672, 0.000) (multiplicity 4)

=====

Stability check: which of them is least stable? B.

=====

--- A ---
Material: MnCrNi2H
Method: DFT, GGA-PBE
State: relaxed

## Properties
As for the magnetization: 0.2 Bohr magnetons per cell.

a = 3.589 Å, b = 3.589 Å, c = 3.833 Å
α = 90.00°, β = 90.00°, γ = 90.00°
Space group P4/mmm (No. 123)
Asymmetric unit:
Mn (0.000, 0.000, 0.000) (multiplicity 1)
Cr (0.500, 0.500, 0.000) (multiplicity 1)
Ni (0.000, 0.500, 0.500) (multiplicity 2)
H (0.500, 0.500, 0.500) (multiplicity 1)

=====

--- B ---
Material: MnCrNi2H
Method: DFT, GGA-PBE
State: relaxed

## Properties
As for the magnetization: 0.1 Bohr magnetons per cell.

a = 3.581 Å, b = 3.581 Å, c = 3.822 Å
α = 90.00°, β = 90.00°, γ = 90.00°
Space group P4/mmm (No. 123)
Asymmetric unit:
Mn (0.000, 0.000, 0.000) (multiplicity 1)
Cr (0.500, 0.500, 0.000) (multiplicity 1)
Ni (0.000, 0.500, 0.500) (multiplicity 2)
H (0.000, 0.000, 0.500) (multiplicity 1)

=====

Stability check: which of them is least stable? B.

=====

--- A ---
Material: TaMnCr2H
Method: DFT, GGA-PBE
State: relaxed

## Properties
As for the magnetization: 2.3 Bohr magnetons per cell.

a = 3.628 Å, b = 3.628 Å, c = 4.228 Å
α = 90.00°, β = 90.00°, γ = 90.00°
Space group P4/mmm (No. 123)
Asymmetric unit:
Ta (0.000, 0.000, 0.000) (multiplicity 1)
Mn (0.500, 0.500, 0.000) (multiplicity 1)
Cr (0.000, 0.500, 0.500) (multiplicity 2)
H (0.500, 0.500, 0.500) (multiplicity 1)

=====

--- B ---
Material: TaMnCr2H
Method: DFT, GGA-PBE
State: relaxed

## Properties
As for the magnetization: 4.4 Bohr magnetons per cell.

a = 4.683 Å, b = 4.683 Å, c = 3.211 Å
α = 90.00°, β = 90.00°, γ = 90.00°
Space group P4/mmm (No. 123)
Asymmetric unit:
Ta (0.000, 0.000, 0.000) (multiplicity 1)
Mn (0.500, 0.500, 0.500) (multiplicity 1)
Cr (0.000, 0.500, 0.000) (multiplicity 2)
H (0.000, 0.000, 0.500) (multiplicity 1)

=====

Stability check: which of them is least stable? B.

=====

--- A ---
Material: Mn2CrHW
Method: DFT, GGA-PBE
State: relaxed

## Properties
As for the magnetization: 3.2 Bohr magnetons per cell.

a = 3.627 Å, b = 3.627 Å, c = 4.071 Å
α = 90.00°, β = 90.00°, γ = 90.00°
Space group P4/mmm (No. 123)
Asymmetric unit:
Mn (0.000, 0.500, 0.000) (multiplicity 2)
Cr (0.000, 0.000, 0.500) (multiplicity 1)
H (0.500, 0.500, 0.000) (multiplicity 1)
W (0.500, 0.500, 0.500) (multiplicity 1)

=====

--- B ---
Material: Mn2CrHW
Method: DFT, GGA-PBE
State: relaxed

## Properties
As for the magnetization: 0.0 Bohr magnetons per cell.

a = 3.705 Å, b = 3.705 Å, c = 3.748 Å
α = 90.00°, β = 90.00°, γ = 90.00°
Space group P4/mmm (No. 123)
Asymmetric unit:
Mn (0.000, 0.500, 0.000) (multiplicity 2)
Cr (0.000, 0.000, 0.500) (multiplicity 1)
H (0.000, 0.000, 0.000) (multiplicity 1)
W (0.500, 0.500, 0.500) (multiplicity 1)

=====

Stability check: which of them is least stable? A.